No. 1
The following is a DFT calculation (PBE-GGA) of ZrTi2Os2 after structural relaxation.

a b c (Å): 7.650 7.650 2.860
angles (deg): 90.00 90.00 90.00
Element x y z (fractional)
1 Zr 0.000 0.000 0.000
2 Zr 0.500 0.500 0.000
3 Ti 0.136 0.364 0.000
4 Ti 0.364 0.864 0.000
5 Ti 0.636 0.136 0.000
6 Ti 0.864 0.636 0.000
7 Os 0.161 0.661 0.500
8 Os 0.339 0.161 0.500
9 Os 0.661 0.839 0.500
10 Os 0.839 0.339 0.500

Output
E above lowest polymorph   30 meV per atom
Density of states at the Fermi level   1.199 states/eV per atom
Energy relative to the elements   -112 kJ/mol of formula units
Total magnetic moment   0.01 μB per formula unit


No. 2
The following is a DFT calculation (PBE-GGA) of ZrTiOs3 after structural relaxation.

a b c (Å): 4.531 4.531 4.531
angles (deg): 90.00 90.00 90.00
Element x y z (fractional)
1 Zr 0.000 0.000 0.000
2 Ti 0.500 0.500 0.500
3 Os 0.000 0.500 0.500
4 Os 0.500 0.000 0.500
5 Os 0.500 0.500 0.000

Output
E above lowest polymorph   0 meV per atom
Density of states at the Fermi level   0.500 states/eV per atom
Energy relative to the elements   466 kJ/mol of formula units
Total magnetic moment   0.00 μB per formula unit